CeDyI2 (PBE, optimized geometry); ΔE_f (raw) = -0.657 eV/atom
1.0
3.8915 0.0000 0.0000
-1.9458 3.3701 0.0000
0.0000 0.0000 32.3178
Ce Dy I
3 3 6
direct
0.0000 0.0000 0.0000
0.3333 0.6667 0.6667
0.6667 0.3333 0.3333
0.0000 0.0000 0.5000
0.3333 0.6667 0.1667
0.6667 0.3333 0.8333
0.0000 0.0000 0.4047
0.0000 0.0000 0.5953
0.3333 0.6667 0.0714
0.3333 0.6667 0.2620
0.6667 0.3333 0.7380
0.6667 0.3333 0.9286